{
  "formula": "LiThNp",
  "functional": "PBE",
  "state": "relaxed",
  "crystal_system": "cubic",
  "e_above_lowest_polymorph_ev_per_atom": 0.0000,
  "dft_energy_ev_per_cell": -19.1,
  "volume_a3_per_atom": 26.04,
  "lattice": [[-1.578, 1.050, 4.408], [-4.512, 1.502, 0.638], [-3.199, -2.860, 2.147]],
  "species": ["Th", "Li", "Np"],
  "fractional_positions": [[0.750, 0.750, 0.750], [0.000, 0.000, 0.000], [0.250, 0.250, 0.250]]
}

---

{
  "formula": "LiNpTl",
  "functional": "PBE",
  "state": "relaxed",
  "crystal_system": "cubic",
  "e_above_lowest_polymorph_ev_per_atom": 0.0000,
  "dft_energy_ev_per_cell": -15.1,
  "volume_a3_per_atom": 29.63,
  "lattice": [[-4.431, -0.219, 2.327], [-1.513, 3.817, 2.869], [-3.772, 2.929, -1.513]],
  "species": ["Li", "Np", "Tl"],
  "fractional_positions": [[0.250, 0.250, 0.250], [0.750, 0.750, 0.750], [0.000, 0.000, 0.000]]
}

---

{
  "formula": "LiTmNp",
  "functional": "PBE",
  "state": "relaxed",
  "crystal_system": "cubic",
  "e_above_lowest_polymorph_ev_per_atom": 0.0000,
  "dft_energy_ev_per_cell": -16.1,
  "volume_a3_per_atom": 26.95,
  "lattice": [[4.037, 0.229, 2.685], [-0.294, 0.983, 4.744], [0.946, -3.469, 3.261]],
  "species": ["Li", "Np", "Tm"],
  "fractional_positions": [[0.000, 0.000, 0.000], [0.250, 0.250, 0.250], [0.750, 0.750, 0.750]]
}

---

{
  "formula": "LiNpU",
  "functional": "PBE",
  "state": "relaxed",
  "crystal_system": "cubic",
  "e_above_lowest_polymorph_ev_per_atom": 0.0000,
  "dft_energy_ev_per_cell": -23.7,
  "volume_a3_per_atom": 17.09,
  "lattice": [[0.000, 2.949, 2.949], [2.949, 0.000, 2.949], [2.949, 2.949, 0.000]],
  "species": ["U", "Li", "Np"],
  "fractional_positions": [[0.000, 0.000, 0.000], [0.250, 0.250, 0.250], [0.750, 0.750, 0.750]]
}

---

{
  "formula": "LiOsO3",
  "functional": "PBE",
  "state": "relaxed",
  "crystal_system": "trigonal",
  "dft_energy_ev_per_cell": -68.5,
  "volume_a3_per_atom": 9.63,
  "lattice": [[-2.349, 4.069, 0.000], [2.349, 4.069, 0.000], [0.000, 2.713, -5.040]],
  "species": ["Li", "Li", "Os", "Os", "O", "O", "O", "O", "O", "O"],
  "fractional_positions": [[0.845, 0.845, 0.464], [0.155, 0.155, 0.536], [0.338, 0.338, 0.987], [0.662, 0.662, 0.013], [0.073, 0.409, 0.762], [0.243, 0.927, 0.238], [0.757, 0.073, 0.762], [0.409, 0.757, 0.762], [0.591, 0.243, 0.238], [0.927, 0.591, 0.238]]
}

---

{
  "formula": "LiOsO4",
  "functional": "PBE",
  "state": "relaxed",
  "crystal_system": "orthorhombic",
  "e_above_lowest_polymorph_ev_per_atom": 0.0722,
  "dft_energy_ev_per_cell": -39.9,
  "volume_a3_per_atom": 10.63,
  "lattice": [[3.153, 0.000, 0.000], [0.005, 4.498, 0.000], [0.003, 0.196, 4.497]],
  "species": ["O", "O", "O", "O", "Os", "Li"],
  "fractional_positions": [[0.503, 0.183, 0.279], [0.045, 0.271, 0.809], [0.503, 0.741, 0.720], [0.044, 0.653, 0.190], [0.621, 0.462, 0.999], [0.036, 0.962, 0.499]]
}

---

{
  "formula": "LiOsO3",
  "functional": "PBE",
  "state": "relaxed",
  "crystal_system": "trigonal",
  "dft_energy_ev_per_cell": -69.1,
  "volume_a3_per_atom": 9.83,
  "lattice": [[-0.697, -0.115, 5.211], [-0.461, 4.402, 2.841], [-4.551, 1.407, 2.228]],
  "species": ["Li", "Li", "O", "O", "O", "O", "O", "O", "Os", "Os"],
  "fractional_positions": [[0.750, 0.750, 0.750], [0.250, 0.250, 0.250], [0.121, 0.379, 0.750], [0.621, 0.250, 0.879], [0.750, 0.121, 0.379], [0.879, 0.621, 0.250], [0.250, 0.879, 0.621], [0.379, 0.750, 0.121], [0.000, 0.000, 0.000], [0.500, 0.500, 0.500]]
}

---

{
  "formula": "Li2OsO3",
  "functional": "PBE",
  "state": "relaxed",
  "crystal_system": "orthorhombic",
  "dft_energy_ev_per_cell": -76.0,
  "volume_a3_per_atom": 10.60,
  "lattice": [[-4.384, -3.081, 1.695], [0.539, -5.396, 1.477], [0.816, 1.312, 4.494]],
  "species": ["Os", "Os", "Li", "Li", "Li", "Li", "O", "O", "O", "O", "O", "O"],
  "fractional_positions": [[0.906, 0.094, 0.953], [0.094, 0.906, 0.453], [0.553, 0.792, 0.026], [0.447, 0.208, 0.526], [0.208, 0.447, 0.026], [0.792, 0.553, 0.526], [0.754, 0.246, 0.372], [0.119, 0.562, 0.420], [0.562, 0.119, 0.920], [0.438, 0.881, 0.420], [0.246, 0.754, 0.872], [0.881, 0.438, 0.920]]
}